Entry 1:
VASP calculation (GGA-PBE) on a geometry-optimized KTl2MoCl8 structure.

Calculated values
Crystal system: triclinic
Fermi-level density of states (states/eV/f.u.): 5.00

a = 6.209 Å, b = 7.962 Å, c = 9.000 Å
α = 89.96°, β = 90.01°, γ = 115.31°
Each line ends with the local moment (μB).
Fractional coordinates of all 12 atoms:
K 0.000 0.000 0.500  0.00
Tl 0.501 0.500 0.742  -0.02
Tl 0.499 0.500 0.258  -0.02
Mo 0.000 0.000 0.000  0.99
Cl 0.035 0.801 0.187  0.01
Cl 0.589 0.823 0.000  -0.02
Cl 0.964 0.199 0.187  0.01
Cl 0.965 0.199 0.813  0.01
Cl 0.411 0.177 0.000  -0.02
Cl 0.036 0.801 0.813  0.01
Cl 0.461 0.724 0.500  -0.03
Cl 0.539 0.276 0.500  -0.03



Entry 2:
VASP calculation (GGA-PBE) on a geometry-optimized K2TlMoCl6 structure.

Calculated values
Crystal system: trigonal

a = 7.204 Å, b = 7.204 Å, c = 15.958 Å
α = 76.95°, β = 76.95°, γ = 60.00°
Each line ends with the local moment (μB).
Fractional coordinates of all 20 atoms:
K 0.854 0.854 0.438  0.00
K 0.146 0.146 0.562  0.00
K 0.687 0.687 0.939  0.00
K 0.313 0.313 0.061  0.00
Tl 0.584 0.584 0.248  0.00
Tl 0.416 0.416 0.752  0.00
Mo 0.000 0.000 0.000  2.41
Mo 0.500 0.500 0.500  2.49
Cl 0.853 0.371 0.406  0.01
Cl 0.371 0.853 0.406  0.01
Cl 0.371 0.371 0.406  0.01
Cl 0.147 0.629 0.594  0.01
Cl 0.629 0.147 0.594  0.01
Cl 0.629 0.629 0.594  0.01
Cl 0.711 0.191 0.907  0.02
Cl 0.191 0.711 0.907  0.02
Cl 0.191 0.191 0.907  0.02
Cl 0.289 0.809 0.093  0.02
Cl 0.809 0.289 0.093  0.02
Cl 0.809 0.809 0.093  0.02



Entry 3:
VASP calculation (GGA-PBE) on a geometry-optimized K2NCl structure.

Calculated values
Crystal system: tetragonal
Excess energy over the best structure of this formula in the dataset (meV per atom): 0.0
Fermi-level density of states (states/eV/f.u.): 3.00

a = 7.718 Å, b = 7.718 Å, c = 6.955 Å
α = 56.30°, β = 56.30°, γ = 90.00°
Each line ends with the local moment (μB).
Fractional coordinates of all 8 atoms:
K 0.597 0.125 0.250  0.01
K 0.153 0.625 0.250  0.01
K 0.375 0.403 0.750  0.01
K 0.875 0.847 0.750  0.01
N 0.500 0.500 0.000  1.24
N 0.250 0.750 0.500  1.23
Cl 0.000 0.000 0.000  0.01
Cl 0.750 0.250 0.500  0.01



Entry 4:
VASP calculation (GGA-PBE) on a geometry-optimized K2NCl structure.

Calculated values
Crystal system: cubic
Excess energy over the best structure of this formula in the dataset (meV per atom): 41.2
Fermi-level density of states (states/eV/f.u.): 9.05

a = 5.227 Å, b = 5.227 Å, c = 5.227 Å
α = 60.00°, β = 60.00°, γ = 60.00°
Each line ends with the local moment (μB).
Fractional coordinates of all 4 atoms:
K 0.250 0.250 0.250  0.00
K 0.750 0.750 0.750  0.00
N 0.000 0.000 0.000  1.22
Cl 0.500 0.500 0.500  0.05



Entry 5:
VASP calculation (GGA-PBE) on a geometry-optimized K3NCl3 structure.

Calculated values
Crystal system: monoclinic
Fermi-level density of states (states/eV/f.u.): 0.00

a = 8.332 Å, b = 8.332 Å, c = 11.819 Å
α = 112.06°, β = 112.06°, γ = 118.85°
Each line ends with the local moment (μB).
Fractional coordinates of all 14 atoms:
K 0.144 0.144 0.717  0.00
K 0.665 0.272 0.255  0.00
K 0.272 0.665 0.255  0.00
K 0.335 0.728 0.745  0.00
K 0.728 0.335 0.745  0.00
K 0.856 0.856 0.283  0.00
N 0.975 0.975 0.033  0.00
N 0.025 0.025 0.967  0.00
Cl 0.395 0.395 0.616  0.08
Cl 0.203 0.797 0.500  0.02
Cl 0.797 0.203 0.500  0.02
Cl 0.329 0.671 0.000  0.00
Cl 0.671 0.329 0.000  0.00
Cl 0.605 0.605 0.384  0.08



Entry 6:
VASP calculation (GGA-PBE) on a geometry-optimized K4N2Cl3 structure.

Calculated values
Crystal system: monoclinic
Fermi-level density of states (states/eV/f.u.): 1.04

a = 8.281 Å, b = 8.584 Å, c = 8.694 Å
α = 119.58°, β = 92.21°, γ = 90.00°
Each line ends with the local moment (μB).
Fractional coordinates of all 18 atoms:
K 0.487 0.724 0.915  0.00
K 0.013 0.809 0.085  0.00
K 0.513 0.276 0.085  0.00
K 0.987 0.191 0.915  0.00
K 0.807 0.645 0.451  0.01
K 0.693 0.194 0.549  0.01
K 0.193 0.355 0.549  0.01
K 0.307 0.806 0.451  0.01
N 0.471 0.514 0.445  0.26
N 0.029 0.069 0.555  0.26
N 0.529 0.486 0.555  0.26
N 0.971 0.931 0.445  0.26
Cl 0.116 0.767 0.735  0.00
Cl 0.384 0.032 0.265  0.00
Cl 0.884 0.233 0.265  0.00
Cl 0.616 0.968 0.735  0.00
Cl 0.750 0.513 0.000  0.00
Cl 0.250 0.487 0.000  0.00



Entry 7:
VASP calculation (GGA-PBE) on a geometry-optimized KN4Cl structure.

Calculated values
Crystal system: orthorhombic
Fermi-level density of states (states/eV/f.u.): 0.36

a = 5.023 Å, b = 5.023 Å, c = 6.556 Å
α = 89.98°, β = 89.97°, γ = 90.30°
Each line ends with the local moment (μB).
Fractional coordinates of all 6 atoms:
K 0.497 0.501 0.002  0.04
N 0.997 0.501 0.744  1.85
N 0.997 0.501 0.259  1.85
N 0.497 0.001 0.259  1.85
N 0.497 0.001 0.744  1.85
Cl 0.997 0.001 0.502  0.58



Entry 8:
VASP calculation (GGA-PBE) on a geometry-optimized KNCl2 structure.

Calculated values
Crystal system: trigonal
Excess energy over the best structure of this formula in the dataset (meV per atom): 701.1
Fermi-level density of states (states/eV/f.u.): 6.12

a = 5.698 Å, b = 5.698 Å, c = 5.698 Å
α = 49.65°, β = 49.65°, γ = 49.65°
Each line ends with the local moment (μB).
Fractional coordinates of all 4 atoms:
K 0.000 0.000 0.000  0.00
N 0.500 0.500 0.500  1.62
Cl 0.775 0.775 0.775  -0.12
Cl 0.225 0.225 0.225  -0.12



Listing raw formation energy for the structures above in their given order: -1.063 -1.327 -0.183 -0.142 -1.579 -1.286 2.978 0.524 eV per atom.